Compound: LiTa2Tc
Source: Alexandria via LeMat-Bulk
Functional: meta-GGA SCAN
Structure: PBEsol geometry

Cell: 2.6087 4.4352 5.4697 Å, 90.00 90.00 90.00°
Last column: nearest neighbours and their distance in Å.
Space group Pmm2 (No. 25)
Asymmetric unit:
1 Li 0.0000 0.0000 0.0000  2 Li 2.61, 6 Ta 2.66-2.87
2 Ta 0.0000 0.0000 0.5134  2 Ta 2.61, 2 Li 2.66-2.81, 4 Tc 2.87
3 Ta 0.5000 0.5000 0.2333  2 Ta 2.61, 2 Tc 2.67-2.80, 4 Li 2.87
4 Tc 0.5000 0.5000 0.7446  2 Tc 2.61, 6 Ta 2.67-2.87

For the formation energy, the calculation gives 0.232 eV/atom.

***

Compound: LiTa2Tc
Source: Alexandria via LeMat-Bulk
Functional: meta-GGA SCAN
Structure: PBEsol geometry

Cell: 3.2206 3.2206 5.8285 Å, 90.00 90.00 90.00°
Last column: nearest neighbours and their distance in Å.
Space group P4mm (No. 99)
Asymmetric unit:
1 Li 0.0000 0.0000 0.0000  4 Tc 2.60, 5 Ta 2.68-2.70
2 Ta 0.0000 0.0000 0.5360  4 Tc 2.70, 1 Li 2.70, 4 Ta 2.85
3 Ta 0.5000 0.5000 0.2423  1 Tc 2.67, 4 Li 2.68, 4 Ta 2.85
4 Tc 0.5000 0.5000 0.7845  4 Li 2.60, 5 Ta 2.67-2.70

For the formation energy, the calculation gives 0.122 eV/atom.

***

Compound: LiTa2Tc
Source: Alexandria via LeMat-Bulk
Functional: meta-GGA SCAN
Structure: PBEsol geometry

Cell: 3.1333 4.5785 9.3092 Å, 90.00 90.00 90.00°
Last column: nearest neighbours and their distance in Å.
Space group Cmmm (No. 65)
Asymmetric unit:
1 Li 0.0000 0.0000 0.0000  4 Li 2.77, 4 Ta 2.96
2 Ta 0.0000 0.5000 0.2704  2 Tc 2.65, 4 Ta 2.77, 2 Li 2.96
3 Tc 0.0000 0.0000 0.5000  4 Ta 2.65, 4 Tc 2.77

For the formation energy, the calculation gives 0.114 eV/atom.

***

Compound: LiTaTe
Source: Alexandria via LeMat-Bulk
Functional: meta-GGA SCAN
Structure: PBEsol geometry

Cell: 3.5658 5.0399 13.9912 Å, 90.00 90.00 90.00°
Last column: nearest neighbours and their distance in Å.
Space group Fmm2 (No. 42)
Asymmetric unit:
1 Li 0.0000 0.0000 0.0000  2 Ta 2.86, 4 Li 3.09
2 Ta 0.0000 0.0000 0.6602  2 Te 2.74, 2 Li 2.86
3 Te 0.0000 0.0000 0.3093  2 Ta 2.74

As for the final energy: -421.36 eV/cell.

***

Compound: LiTaTl2
Source: Alexandria via LeMat-Bulk
Functional: meta-GGA SCAN
Structure: PBEsol geometry

Cell: 3.0203 4.9481 5.7050 Å, 90.00 90.00 90.00°
Last column: nearest neighbours and their distance in Å.
Space group Pmm2 (No. 25)
Asymmetric unit:
1 Li 0.0000 0.0000 0.0000  1 Tl 2.64
2 Ta 0.5000 0.5000 0.3860  6 Tl 2.82-2.93, 2 Ta 3.02
3 Tl 0.0000 0.0000 0.4631  1 Li 2.64, 4 Ta 2.93
4 Tl 0.5000 0.5000 0.8911  2 Ta 2.82-2.88, 4 Li 2.96, 2 Tl 3.02

For the formation energy, the calculation gives 0.316 eV/atom.

***

Compound: LiTaTl2
Source: Alexandria via LeMat-Bulk
Functional: meta-GGA SCAN
Structure: PBEsol geometry

Cell: 6.9490 6.9490 6.9490 Å, 90.00 90.00 90.00°
Last column: nearest neighbours and their distance in Å.
Space group F-43m (No. 216)
Asymmetric unit:
1 Li 0.0000 0.0000 0.0000  4 Tl 3.01, 4 Ta 3.01
2 Ta 0.2500 0.2500 0.7500  4 Li 3.01, 4 Tl 3.01
3 Tl 0.0000 0.0000 0.5000  4 Ta 3.01, 4 Tl 3.01
4 Tl 0.2500 0.2500 0.2500  4 Tl 3.01, 4 Li 3.01

For the formation energy, the calculation gives 0.837 eV/atom.

***

Compound: LiTa3Tl
Source: Alexandria via LeMat-Bulk
Functional: meta-GGA SCAN
Structure: PBEsol geometry

Cell: 5.0903 5.0903 5.0903 Å, 90.00 90.00 90.00°
Last column: nearest neighbours and their distance in Å.
Space group Pm-3m (No. 221)
Asymmetric unit:
1 Li 0.0000 0.0000 0.0000  12 Ta 3.60
2 Ta 0.0000 0.5000 0.5000  2 Tl 2.55
3 Tl 0.5000 0.5000 0.5000  6 Ta 2.55

For the formation energy, the calculation gives 2.414 eV/atom.

***

Compound: Li2Ta2W
Source: Alexandria via LeMat-Bulk
Functional: meta-GGA SCAN
Structure: PBEsol geometry

Cell: 3.2182 3.2182 16.5585 Å, 90.00 90.00 90.00°
Last column: nearest neighbours and their distance in Å.
Space group I4/mmm (No. 139)
Asymmetric unit:
1 Li 0.0000 0.5000 0.2500  4 Li 2.28
2 Ta 0.0000 0.0000 0.0898  4 W 2.72, 1 Ta 2.97
3 W 0.0000 0.0000 0.5000  8 Ta 2.72

For the formation energy, the calculation gives 0.611 eV/atom.

***

Compound: Li2YTa
Source: Alexandria via LeMat-Bulk
Functional: meta-GGA SCAN
Structure: PBEsol geometry

Cell: 4.7951 4.7951 3.1803 Å, 90.00 90.00 90.00°
Last column: nearest neighbours and their distance in Å.
Space group P4/mmm (No. 123)
Asymmetric unit:
1 Li 0.0000 0.5000 0.0000  4 Ta 2.88, 4 Y 2.88, 2 Li 3.18
2 Y 0.0000 0.0000 0.5000  8 Li 2.88, 2 Y 3.18
3 Ta 0.5000 0.5000 0.5000  8 Li 2.88, 2 Ta 3.18

For the formation energy, the calculation gives 0.645 eV/atom. The energy above the most stable polymorph in this dataset comes out at 29 meV/atom.

***

Compound: LiYTa2
Source: Alexandria via LeMat-Bulk
Functional: meta-GGA SCAN
Structure: PBEsol geometry

Cell: 6.6949 6.6949 6.6949 Å, 90.00 90.00 90.00°
Last column: nearest neighbours and their distance in Å.
Space group F-43m (No. 216)
Asymmetric unit:
1 Li 0.0000 0.0000 0.0000  4 Y 2.90, 4 Ta 2.90
2 Y 0.2500 0.2500 0.7500  4 Ta 2.90, 4 Li 2.90
3 Ta 0.0000 0.0000 0.5000  4 Ta 2.90, 4 Y 2.90
4 Ta 0.2500 0.2500 0.2500  4 Li 2.90, 4 Ta 2.90

For the formation energy, the calculation gives 0.432 eV/atom. The energy above the most stable polymorph in this dataset comes out at 0 meV/atom.

***

Compound: Li4YTa
Source: Alexandria via LeMat-Bulk
Functional: meta-GGA SCAN
Structure: PBEsol geometry

Cell: 7.6059 7.6059 7.6059 Å, 90.00 90.00 90.00°
Last column: nearest neighbours and their distance in Å.
Space group F-43m (No. 216)
Asymmetric unit:
1 Li 0.1227 0.1227 0.3773  6 Li 2.64-2.74
2 Y 0.0000 0.0000 0.0000  12 Li 3.16, 4 Ta 3.29
3 Ta 0.2500 0.2500 0.7500  12 Li 3.15, 4 Y 3.29

For the formation energy, the calculation gives 0.486 eV/atom.

***

Compound: LiYTa2
Source: Alexandria via LeMat-Bulk
Functional: meta-GGA SCAN
Structure: PBEsol geometry

Cell: 9.6518 2.9143 5.7412 Å, 90.00 95.32 90.00°
Last column: nearest neighbours and their distance in Å.
Space group Cm (No. 8)
Asymmetric unit:
1 Li 0.0000 0.0000 0.0000  3 Y 2.83-3.05, 5 Ta 2.88-3.12, 2 Li 2.91
2 Y 0.2544 0.5000 0.2328  3 Li 2.83-3.05, 2 Y 2.91, 3 Ta 3.10-3.14
3 Ta 0.0176 0.5000 0.5717  5 Ta 2.69-2.91, 2 Li 2.88
4 Ta 0.2586 0.0000 0.7110  5 Ta 2.69-2.91

For the formation energy, the calculation gives 0.465 eV/atom. The energy above the most stable polymorph in this dataset comes out at 33 meV/atom.

***

Compound: LiYTa
Source: Alexandria via LeMat-Bulk
Functional: meta-GGA SCAN
Structure: PBEsol geometry

Cell: 6.3677 6.3677 6.3677 Å, 90.00 90.00 90.00°
Last column: nearest neighbours and their distance in Å.
Space group F-43m (No. 216)
Asymmetric unit:
1 Li 0.0000 0.0000 0.0000  4 Ta 2.76, 4 Y 2.76
2 Y 0.2500 0.2500 0.2500  4 Li 2.76
3 Ta 0.2500 0.2500 0.7500  4 Li 2.76

For the formation energy, the calculation gives 1.212 eV/atom. The energy above the most stable polymorph in this dataset comes out at 699 meV/atom.

***

Compound: LiYTa2
Source: Alexandria via LeMat-Bulk
Functional: meta-GGA SCAN
Structure: PBEsol geometry

Cell: 3.8950 3.8950 21.0355 Å, 90.00 90.00 90.00°
Last column: nearest neighbours and their distance in Å.
Space group I-42d (No. 122)
Asymmetric unit:
1 Li 0.0000 0.0000 0.0000  4 Y 2.75, 4 Ta 2.97
2 Y 0.0000 0.0000 0.5000  4 Li 2.75, 4 Ta 2.97
3 Ta 0.2476 0.7500 0.1250  4 Ta 2.74-2.77, 2 Li 2.97, 2 Y 2.97

For the formation energy, the calculation gives 0.711 eV/atom. The energy above the most stable polymorph in this dataset comes out at 279 meV/atom.

***

Compound: LiYTa
Source: Alexandria via LeMat-Bulk
Functional: meta-GGA SCAN
Structure: PBEsol geometry

Cell: 3.0762 3.0762 7.9335 Å, 90.00 90.00 120.00°
Last column: nearest neighbours and their distance in Å.
Space group P3m1 (No. 156)
Asymmetric unit:
1 Li 0.0000 0.0000 0.0000  3 Ta 3.04, 6 Li 3.08
2 Y 0.6667 0.3333 0.3751  3 Ta 3.06, 6 Y 3.08
3 Ta 0.3333 0.6667 0.6894  3 Li 3.04, 3 Y 3.06, 6 Ta 3.08

For the formation energy, the calculation gives 0.514 eV/atom. The energy above the most stable polymorph in this dataset comes out at 0 meV/atom.

***

Compound: Li2YTa
Source: Alexandria via LeMat-Bulk
Functional: meta-GGA SCAN
Structure: PBEsol geometry

Cell: 2.8714 4.5011 5.9566 Å, 90.00 90.00 90.00°
Last column: nearest neighbours and their distance in Å.
Space group Pmmm (No. 47)
Asymmetric unit:
1 Li 0.0000 0.0000 0.2167  3 Li 2.58-2.87
2 Y 0.5000 0.5000 0.5000  2 Y 2.87, 2 Ta 2.98, 8 Li 3.16
3 Ta 0.5000 0.5000 0.0000  2 Ta 2.87, 8 Li 2.97, 2 Y 2.98

For the formation energy, the calculation gives 0.616 eV/atom. The energy above the most stable polymorph in this dataset comes out at 0 meV/atom.

***

Compound: LiTa2Zn
Source: Alexandria via LeMat-Bulk
Functional: meta-GGA SCAN
Structure: PBEsol geometry

Cell: 2.6503 4.3350 5.6539 Å, 90.00 103.47 90.00°
Last column: nearest neighbours and their distance in Å.
Space group Pm (No. 6)
Asymmetric unit:
1 Li 0.0000 0.0000 0.0000  2 Zn 2.52, 2 Li 2.65
2 Ta 0.2581 0.0000 0.5157  6 Ta 2.65-2.94, 1 Li 2.84, 4 Zn 2.89
3 Ta 0.6238 0.5000 0.2462  6 Ta 2.65-2.94, 3 Zn 2.86-2.95, 4 Li 2.88
4 Zn 0.8847 0.5000 0.7670  2 Li 2.52, 2 Zn 2.65

For the formation energy, the calculation gives 0.183 eV/atom.

***

Compound: Li2TaZn
Source: Alexandria via LeMat-Bulk
Functional: meta-GGA SCAN
Structure: PBEsol geometry

Cell: 3.7097 3.7097 4.5023 Å, 90.00 90.00 90.00°
Last column: nearest neighbours and their distance in Å.
Space group P4/mmm (No. 123)
Asymmetric unit:
1 Li 0.0000 0.5000 0.0000  4 Li 2.62, 4 Ta 2.92, 4 Zn 2.92
2 Ta 0.0000 0.0000 0.5000  4 Zn 2.62, 8 Li 2.92
3 Zn 0.5000 0.5000 0.5000  4 Ta 2.62, 8 Li 2.92

For the formation energy, the calculation gives 0.401 eV/atom.

***

Compound: LiTaZn
Source: Alexandria via LeMat-Bulk
Functional: meta-GGA SCAN
Structure: PBEsol geometry

Cell: 3.0826 4.3339 14.1790 Å, 90.00 90.00 90.00°
Last column: nearest neighbours and their distance in Å.
Space group Fmm2 (No. 42)
Asymmetric unit:
1 Li 0.0000 0.0000 0.0000  4 Li 2.66, 2 Zn 2.68, 2 Ta 2.97
2 Ta 0.0000 0.0000 0.6789  4 Ta 2.66, 2 Zn 2.81, 2 Li 2.97
3 Zn 0.0000 0.0000 0.3450  4 Zn 2.66, 2 Li 2.68, 2 Ta 2.81

For the formation energy, the calculation gives 0.148 eV/atom. The energy above the most stable polymorph in this dataset comes out at 0 meV/atom.

***

Compound: Li2TaZn
Source: Alexandria via LeMat-Bulk
Functional: meta-GGA SCAN
Structure: PBEsol geometry

Cell: 5.4641 9.4727 2.5161 Å, 90.00 90.00 90.00°
Last column: nearest neighbours and their distance in Å.
Space group Cmmm (No. 65)
Asymmetric unit:
1 Li 0.2500 0.2500 0.0000  4 Li 2.52-2.73
2 Ta 0.0000 0.0000 0.5000  2 Ta 2.52, 2 Zn 2.73
3 Zn 0.0000 0.5000 0.5000  2 Zn 2.52, 2 Ta 2.73

For the formation energy, the calculation gives 0.352 eV/atom.